# 1
## PrErRh (PBE)

Data for a relaxed structure of PrErRh.

Results
E_form (kJ/mol of atoms): -56.6
E (eV per formula unit): -18.45

Structure (POSCAR):
```
PrErRh
1.0
-3.5115 -0.5748 -1.5400
1.1069 -3.4818 -6.1008
-1.6307 -6.1551 1.1221
Er Pr Rh
2 2 2
direct
0.8243 0.0789 0.2725
0.1757 0.9211 0.7275
0.4199 0.3696 0.7900
0.5801 0.6304 0.2100
0.1359 0.3062 0.4226
0.8641 0.6938 0.5774
```

# 2
## Ca3HfW (PBE)

Data for a relaxed structure of Ca3HfW.

Results
E_form (kJ/mol of atoms): 147.3
E (eV per formula unit): -21.28

Structure (POSCAR):
```
Ca3HfW
1.0
5.4573 0.0000 0.0000
0.0000 5.4573 0.0000
0.0000 0.0000 5.4573
Ca Hf W
3 1 1
direct
0.0000 0.0000 0.5000
0.5000 0.0000 0.0000
0.0000 0.5000 0.0000
0.5000 0.5000 0.5000
0.0000 0.0000 0.0000
```

# 3
## TlCu4SbAs2 (PBE)

Data for a relaxed structure of TlCu4SbAs2.

Results
Energy relative to the elements, uncorrected (meV/atom): 73
E (eV per formula unit): -31.59

Structure (POSCAR):
```
TlCu4SbAs2
1.0
-2.5692 0.6241 -2.9180
-2.9839 -0.4958 2.5211
0.0836 10.0363 2.0729
As Cu Sb Tl
2 4 1 1
direct
0.5000 0.5000 0.6846
0.5000 0.5000 0.3154
0.0000 0.5000 0.8218
0.5000 0.0000 0.8218
0.0000 0.5000 0.1782
0.5000 0.0000 0.1782
0.0000 0.0000 0.0000
0.0000 0.0000 0.5000
```

# 4
## MgTl2Hg (PBE)

Data for a relaxed structure of MgTl2Hg.

Results
E_form (kJ/mol of atoms): -2.0
E (eV per formula unit): -6.71

Structure (POSCAR):
```
MgTl2Hg
1.0
6.1633 0.0061 0.1525
5.1378 3.4044 0.1525
2.1022 0.6344 5.1448
Mg Tl Hg
1 2 1
direct
0.2330 0.2330 0.2129
0.9810 0.9810 0.0573
0.7614 0.7614 0.7038
0.5246 0.5246 0.5259
```

> Look up the E of the second one.

-21.28 eV per formula unit